Compound: CrCuO2F
Source: Alexandria via LeMat-Bulk
Functional: GGA+U
Structure: relaxed

It has space group P4/mmm (No. 123), with a = 3.8187 Å, b = 3.8187 Å, c = 3.8478 Å, α = 90.00°, β = 90.00° and γ = 90.00°. The inequivalent atoms are Cr at (0.0000, 0.0000, 0.0000), Cu at (0.5000, 0.5000, 0.5000), O at (0.0000, 0.5000, 0.0000) and F at (0.0000, 0.0000, 0.5000).

The total energy is -5.736 eV/atom.